Compound: LiTlCoW
Source: OQMD via LeMat-Bulk
Functional: PBE
Structure: optimized geometry

The calculation puts the total energy at -5.56 eV/atom.

The space group is F-43m (No. 216) and the conventional cell measures 6.1435, 6.1435 and 6.1435 Å, with angles of 90.00, 90.00 and 90.00 degrees. The asymmetric unit holds Li at (0.0000, 0.0000, 0.0000), Tl at (0.2500, 0.2500, 0.2500), Co at (0.0000, 0.0000, 0.5000) and W at (0.2500, 0.2500, 0.7500).